# 1
! La2Zn2AgPd5 PBE optimized geometry; values from VASP
! crystal system	tetragonal
&SYSTEM
  ibrav = 0, nat = 20, ntyp = 4
/
ATOMIC_SPECIES
La 138.91 La.upf
Zn 65.41 Zn.upf
Ag 107.87 Ag.upf
Pd 106.42 Pd.upf
ATOMIC_POSITIONS angstrom
La 1.793 3.140 0.000
La 3.140 8.074 0.000
La 6.726 1.793 0.000
La 8.074 6.726 0.000
Zn 1.138 6.071 0.000
Zn 3.796 1.138 0.000
Zn 6.071 8.729 0.000
Zn 8.729 3.796 0.000
Ag 0.000 0.000 0.000
Ag 4.933 4.933 0.000
Pd 0.000 4.933 1.948
Pd 0.643 7.813 1.948
Pd 2.054 0.643 1.948
Pd 2.880 5.576 1.948
Pd 4.290 2.880 1.948
Pd 4.933 0.000 1.948
Pd 5.576 6.987 1.948
Pd 6.987 4.290 1.948
Pd 7.813 9.224 1.948
Pd 9.224 2.054 1.948
CELL_PARAMETERS angstrom
9.867 0.000 0.000
0.000 9.867 0.000
0.000 0.000 3.896

# 2
! La2Zn3AgPd4 PBE optimized geometry; values from VASP
! crystal system	tetragonal
&SYSTEM
  ibrav = 0, nat = 10, ntyp = 4
/
ATOMIC_SPECIES
La 138.91 La.upf
Zn 65.41 Zn.upf
Ag 107.87 Ag.upf
Pd 106.42 Pd.upf
ATOMIC_POSITIONS angstrom
La 0.000 2.096 2.792
La 2.096 0.000 8.611
Zn 0.000 2.096 9.965
Zn 2.096 0.000 1.438
Zn 2.096 2.096 5.702
Ag 0.000 0.000 5.702
Pd 0.000 0.000 0.000
Pd 0.000 2.096 7.454
Pd 2.096 0.000 3.949
Pd 2.096 2.096 0.000
CELL_PARAMETERS angstrom
4.193 0.000 0.000
0.000 4.193 0.000
0.000 0.000 11.403

# 3
! LaZn2AgPd2 PBE optimized geometry; values from VASP
! crystal system	tetragonal
&SYSTEM
  ibrav = 0, nat = 6, ntyp = 4
/
ATOMIC_SPECIES
La 138.91 La.upf
Zn 65.41 Zn.upf
Ag 107.87 Ag.upf
Pd 106.42 Pd.upf
ATOMIC_POSITIONS angstrom
La 0.000 0.000 0.000
Zn 0.000 2.370 2.854
Zn 2.370 0.000 2.854
Ag 0.000 0.000 2.854
Pd 2.370 2.370 1.415
Pd 2.370 2.370 4.294
CELL_PARAMETERS angstrom
4.740 0.000 0.000
0.000 4.740 0.000
0.000 0.000 5.709

# 4
! La2Zn4AgPd3 PBE optimized geometry; values from VASP
! crystal system	tetragonal
&SYSTEM
  ibrav = 0, nat = 10, ntyp = 4
/
ATOMIC_SPECIES
La 138.91 La.upf
Zn 65.41 Zn.upf
Ag 107.87 Ag.upf
Pd 106.42 Pd.upf
ATOMIC_POSITIONS angstrom
La 0.000 2.180 2.628
La 2.180 0.000 8.000
Zn 0.000 0.000 0.000
Zn 0.000 2.180 6.728
Zn 2.180 0.000 3.900
Zn 2.180 2.180 0.000
Ag 0.000 0.000 5.314
Pd 0.000 2.180 9.243
Pd 2.180 0.000 1.386
Pd 2.180 2.180 5.314
CELL_PARAMETERS angstrom
4.359 0.000 0.000
0.000 4.359 0.000
0.000 0.000 10.628

# 5
! LaZn3AgPd PBE optimized geometry; values from VASP
! crystal system	orthorhombic
&SYSTEM
  ibrav = 0, nat = 12, ntyp = 4
/
ATOMIC_SPECIES
La 138.91 La.upf
Zn 65.41 Zn.upf
Ag 107.87 Ag.upf
Pd 106.42 Pd.upf
ATOMIC_POSITIONS angstrom
La 3.252 3.876 4.149
La 3.252 -3.876 1.383
Zn 1.246 0.000 0.000
Zn 1.246 0.000 2.766
Zn 3.252 1.891 1.383
Zn 3.252 -1.891 4.149
Zn 5.258 0.000 0.000
Zn 5.258 0.000 2.766
Ag 3.252 0.912 4.149
Ag 3.252 -0.912 1.383
Pd 3.252 4.566 1.383
Pd 3.252 -4.566 4.149
CELL_PARAMETERS angstrom
3.252 -6.660 0.000
3.252 6.660 0.000
0.000 0.000 5.532

# 6
! LaZn2Ag2Pd PBE optimized geometry; values from VASP
! crystal system	tetragonal
&SYSTEM
  ibrav = 0, nat = 6, ntyp = 4
/
ATOMIC_SPECIES
La 138.91 La.upf
Zn 65.41 Zn.upf
Ag 107.87 Ag.upf
Pd 106.42 Pd.upf
ATOMIC_POSITIONS angstrom
La 0.000 0.000 0.000
Zn 0.000 2.438 2.777
Zn 2.438 0.000 2.777
Ag 2.438 2.438 1.351
Ag 2.438 2.438 4.203
Pd 0.000 0.000 2.777
CELL_PARAMETERS angstrom
4.875 0.000 0.000
0.000 4.875 0.000
0.000 0.000 5.554

# 7
! LaPm4Ag PBE optimized geometry; values from VASP
! crystal system	orthorhombic
! offset from the most stable computed form	183	meV/atom
&SYSTEM
  ibrav = 0, nat = 12, ntyp = 3
/
ATOMIC_SPECIES
La 138.91 La.upf
Pm 145.00 Pm.upf
Ag 107.87 Ag.upf
ATOMIC_POSITIONS angstrom
La 2.791 5.834 4.533
La 2.791 -5.834 0.000
Pm 2.791 6.405 0.933
Pm 2.791 3.677 7.442
Pm 2.791 2.585 1.644
Pm 2.791 0.269 7.821
Pm 2.791 -0.269 3.288
Pm 2.791 -2.585 6.178
Pm 2.791 -3.677 2.909
Pm 2.791 -6.405 5.466
Ag 2.791 2.653 4.659
Ag 2.791 -2.653 0.125
CELL_PARAMETERS angstrom
2.791 -7.910 0.000
2.791 7.910 0.000
0.000 0.000 9.066

# 8
! La3Pm2Ag3 PBE optimized geometry; values from VASP
! crystal system	orthorhombic
&SYSTEM
  ibrav = 0, nat = 8, ntyp = 3
/
ATOMIC_SPECIES
La 138.91 La.upf
Pm 145.00 Pm.upf
Ag 107.87 Ag.upf
ATOMIC_POSITIONS angstrom
La 0.000 0.000 0.000
La 1.903 0.000 8.556
La 0.000 2.762 2.722
Pm 0.000 0.000 5.221
Pm 0.000 0.000 17.335
Ag 1.903 0.000 2.709
Ag 0.000 0.000 11.278
Ag 0.000 2.762 8.569
CELL_PARAMETERS angstrom
-1.903 2.762 11.278
1.903 -2.762 11.278
1.903 2.762 -11.278

# 9
! LaPm2Ag PBE optimized geometry; values from VASP
! crystal system	tetragonal
! offset from the most stable computed form	0	meV/atom
&SYSTEM
  ibrav = 0, nat = 4, ntyp = 3
/
ATOMIC_SPECIES
La 138.91 La.upf
Pm 145.00 Pm.upf
Ag 107.87 Ag.upf
ATOMIC_POSITIONS angstrom
La 0.000 0.000 0.000
Pm 1.874 1.874 2.527
Pm 1.874 1.874 6.193
Ag 0.000 0.000 4.360
CELL_PARAMETERS angstrom
3.749 0.000 0.000
0.000 3.749 0.000
0.000 0.000 8.720

# 10
! La5PmAg4 PBE optimized geometry; values from VASP
! crystal system	tetragonal
&SYSTEM
  ibrav = 0, nat = 10, ntyp = 3
/
ATOMIC_SPECIES
La 138.91 La.upf
Pm 145.00 Pm.upf
Ag 107.87 Ag.upf
ATOMIC_POSITIONS angstrom
La 0.000 0.000 0.000
La 0.000 0.000 3.879
La 0.000 0.000 7.722
La 0.000 0.000 12.766
La 0.000 0.000 16.610
Pm 1.900 1.900 10.244
Ag 1.900 1.900 1.932
Ag 1.900 1.900 5.823
Ag 1.900 1.900 14.666
Ag 1.900 1.900 18.556
CELL_PARAMETERS angstrom
3.801 0.000 0.000
0.000 3.801 0.000
0.000 0.000 20.488

# 11
! La4PmAg PBE optimized geometry; values from VASP
! crystal system	orthorhombic
! offset from the most stable computed form	79	meV/atom
&SYSTEM
  ibrav = 0, nat = 12, ntyp = 3
/
ATOMIC_SPECIES
La 138.91 La.upf
Pm 145.00 Pm.upf
Ag 107.87 Ag.upf
ATOMIC_POSITIONS angstrom
La 2.870 9.741 3.288
La 2.870 6.643 2.126
La 2.870 5.190 4.856
La 2.870 1.285 4.428
La 2.870 -1.285 1.140
La 2.870 -5.190 1.568
La 2.870 -6.643 5.414
La 2.870 -9.741 0.000
Pm 2.870 2.782 1.220
Pm 2.870 -2.782 4.508
Ag 2.870 8.223 6.064
Ag 2.870 -8.223 2.776
CELL_PARAMETERS angstrom
2.870 -10.545 0.000
2.870 10.545 0.000
0.000 0.000 6.576

# 12
! LaPmAg3 PBE optimized geometry; values from VASP
! crystal system	orthorhombic
! offset from the most stable computed form	70	meV/atom
&SYSTEM
  ibrav = 0, nat = 20, ntyp = 3
/
ATOMIC_SPECIES
La 138.91 La.upf
Pm 145.00 Pm.upf
Ag 107.87 Ag.upf
ATOMIC_POSITIONS angstrom
La 7.749 4.412 5.669
La 7.749 0.278 5.669
La 7.749 -0.278 1.890
La 7.749 -4.412 1.890
Pm 4.109 2.162 5.669
Pm 11.388 2.162 5.669
Pm 4.109 -2.162 1.890
Pm 11.388 -2.162 1.890
Ag 6.320 2.107 0.333
Ag 6.320 2.107 3.447
Ag 2.870 0.000 0.000
Ag 2.870 0.000 3.779
Ag 9.177 2.107 0.333
Ag 9.177 2.107 3.447
Ag 6.320 -2.107 4.112
Ag 6.320 -2.107 7.226
Ag 12.627 0.000 0.000
Ag 12.627 0.000 3.779
Ag 9.177 -2.107 4.112
Ag 9.177 -2.107 7.226
CELL_PARAMETERS angstrom
7.749 -4.557 0.000
7.749 4.557 0.000
0.000 0.000 7.559

| no. | formation energy from the elements (eV/f.u.) | DFT total energy (eV per atom) | density (g/cm³) |
| --- | --- | --- | --- |
| 1 | -5.81 | -4.703 | 9.18 |
| 2 | -5.88 | -4.318 | 8.35 |
| 3 | -0.73 | -3.574 | 7.64 |
| 4 | -5.44 | -3.882 | 7.95 |
| 5 | -1.53 | -3.054 | 7.62 |
| 6 | -1.40 | -3.295 | 7.44 |
| 7 | 0.70 | -4.346 | 6.86 |
| 8 | -1.46 | -4.287 | 7.21 |
| 9 | -0.45 | -4.433 | 7.27 |
| 10 | -1.99 | -4.278 | 7.13 |
| 11 | 0.04 | -4.545 | 6.75 |
| 12 | -0.98 | -3.843 | 7.56 |